AlTc2Hg: optimized geometry, GGA-PBE.

Calculated values
DOS at the Fermi energy: 3.6 states/eV per cell
Energy of formation: 0.295 eV/atom
Space-group type: No. 65

extended XYZ file:
```
4
Lattice="2.762 -0.019 0.000 -0.913 2.607 0.000 0.000 0.000 8.990" Properties=species:S:1:pos:R:3 pbc="T T T"
Al 0.925 1.294 2.247
Hg 0.925 1.294 6.742
Tc 0.000 0.000 0.203
Tc 0.000 0.000 4.292
```